[1]
Below is a geometry-optimized LiRe2Ru2 structure, with properties calculated at the PBE level.

```
LiRe2Ru2
1.0
7.5852 0.0000 0.0000
0.0000 7.5852 0.0000
0.0000 0.0000 2.7281
Ru Li Re
4 2 4
Cartesian
4.7620 0.9695 0.0000
6.6157 4.7620 0.0000
0.9695 2.8231 0.0000
2.8231 6.6157 0.0000
3.7926 3.7926 0.0000
0.0000 0.0000 0.0000
6.3396 2.5470 1.3640
1.2456 5.0382 1.3640
5.0382 6.3396 1.3640
2.5470 1.2456 1.3640
```

DFT formation energy = 0.22 eV/atom
Energy above the lowest structure with this stoichiometry = 40 meV/atom
Final energy = -8.85 eV/atom

---

[2]
Below is a geometry-optimized La5Pb structure, with properties calculated at the PBE level.

```
La5Pb
1.0
8.4490 0.0070 0.0000
-6.9569 4.7944 0.0000
0.0000 0.0000 5.0845
La Pb
5 1
Cartesian
5.5723 0.9009 2.5422
-2.2029 3.3171 0.0000
0.3182 2.5337 2.5422
2.8392 1.7503 0.0000
-4.9363 4.1665 2.5422
8.0211 0.1399 0.0000
```

DFT formation energy = -0.22 eV/atom
Energy above the lowest structure with this stoichiometry = 0 meV/atom
Final energy = -4.95 eV/atom

---

Which of these has the highest energy above the lowest structure with this stoichiometry?
LiRe2Ru2

---

Among the records above, which one has the lowest energy above the lowest structure with this stoichiometry?
La5Pb

---

Repeat the second record exactly.
Below is a geometry-optimized La5Pb structure, with properties calculated at the PBE level.

```
La5Pb
1.0
8.4490 0.0070 0.0000
-6.9569 4.7944 0.0000
0.0000 0.0000 5.0845
La Pb
5 1
Cartesian
5.5723 0.9009 2.5422
-2.2029 3.3171 0.0000
0.3182 2.5337 2.5422
2.8392 1.7503 0.0000
-4.9363 4.1665 2.5422
8.0211 0.1399 0.0000
```

DFT formation energy = -0.22 eV/atom
Energy above the lowest structure with this stoichiometry = 0 meV/atom
Final energy = -4.95 eV/atom